Record 1
# EuDyYSc (PBE, relaxed)
# Symmetry = No. 216
# D(E_F) = 7.7 states/eV/cell
# Formation energy = 17 kJ/mol of atoms
data_EuDyYSc
_cell_length_a 5.6231
_cell_length_b 5.6231
_cell_length_c 5.6231
_cell_angle_alpha 60.00
_cell_angle_beta 60.00
_cell_angle_gamma 60.00
_space_group_name_H-M_alt 'P 1'
_space_group_IT_number 1
loop_
_space_group_symop_operation_xyz
'x,y,z'
loop_
_atom_site_label
_atom_site_fract_x
_atom_site_fract_y
_atom_site_fract_z
Eu1 0.5000 0.5000 0.5000
Dy1 0.2500 0.2500 0.2500
Sc1 0.0000 0.0000 0.0000
Y1 0.7500 0.7500 0.7500

***

Record 2
# K3TmNp2Te6 (PBE, relaxed)
# Symmetry = No. 12
# D(E_F) = 18.3 states/eV/cell
data_K3TmNp2Te6
_cell_length_a 7.8450
_cell_length_b 7.8450
_cell_length_c 8.6300
_cell_angle_alpha 98.72
_cell_angle_beta 98.72
_cell_angle_gamma 120.01
_space_group_name_H-M_alt 'P 1'
_space_group_IT_number 1
loop_
_space_group_symop_operation_xyz
'x,y,z'
loop_
_atom_site_label
_atom_site_fract_x
_atom_site_fract_y
_atom_site_fract_z
K1 0.8320 0.1680 0.5000
Np1 0.6666 0.3334 0.0000
Te1 0.3969 0.0696 0.2090
Te2 0.6031 0.9304 0.7910
K2 0.1680 0.8320 0.5000
K3 0.5000 0.5000 0.5000
Te3 0.0696 0.3969 0.2090
Te4 0.2575 0.2575 0.7910
Np2 0.3334 0.6666 0.0000
Tm1 0.0000 0.0000 0.0000
Te5 0.7425 0.7425 0.2090
Te6 0.9304 0.6031 0.7910

***

Record 3
# CuHW (PBE, relaxed)
# Symmetry = No. 11
# D(E_F) = 2.2 states/eV/cell
# Energy above the most stable polymorph in this dataset = 0.013 eV/atom
data_CuHW
_cell_length_a 2.8139
_cell_length_b 4.2090
_cell_length_c 5.2882
_cell_angle_alpha 90.00
_cell_angle_beta 103.59
_cell_angle_gamma 90.00
_space_group_name_H-M_alt 'P 1'
_space_group_IT_number 1
loop_
_space_group_symop_operation_xyz
'x,y,z'
loop_
_atom_site_label
_atom_site_fract_x
_atom_site_fract_y
_atom_site_fract_z
W1 0.3611 0.2500 0.6416
W2 0.6389 0.7500 0.3584
Cu1 0.9357 0.7500 0.8933
H1 0.2876 0.7500 0.6286
H2 0.7124 0.2500 0.3714
Cu2 0.0643 0.2500 0.1067

***

Record 4
# CsTmGeTe3 (PBE, relaxed)
# Symmetry = No. 11
data_CsTmGeTe3
_cell_length_a 4.3088
_cell_length_b 9.8105
_cell_length_c 12.2361
_cell_angle_alpha 113.52
_cell_angle_beta 90.00
_cell_angle_gamma 90.00
_space_group_name_H-M_alt 'P 1'
_space_group_IT_number 1
loop_
_space_group_symop_operation_xyz
'x,y,z'
loop_
_atom_site_label
_atom_site_fract_x
_atom_site_fract_y
_atom_site_fract_z
Te1 0.7500 0.3953 0.0996
Ge1 0.2500 0.1164 0.5553
Te2 0.2500 0.1241 0.7785
Tm1 0.2500 0.6316 0.1559
Tm2 0.7500 0.3684 0.8441
Te3 0.2500 0.6810 0.4218
Cs1 0.2500 0.2326 0.2789
Te4 0.2500 0.6047 0.9004
Cs2 0.7500 0.7674 0.7211
Te5 0.7500 0.8759 0.2215
Ge2 0.7500 0.8836 0.4447
Te6 0.7500 0.3190 0.5782

***

Record 5
# KTe2PbI (PBE, relaxed)
# Symmetry = No. 123
# D(E_F) = 7.2 states/eV/cell
# Energy above the most stable polymorph in this dataset = 0.000 eV/atom
data_KTe2PbI
_cell_length_a 5.9335
_cell_length_b 5.9335
_cell_length_c 6.4780
_cell_angle_alpha 90.00
_cell_angle_beta 90.00
_cell_angle_gamma 90.00
_space_group_name_H-M_alt 'P 1'
_space_group_IT_number 1
loop_
_space_group_symop_operation_xyz
'x,y,z'
loop_
_atom_site_label
_atom_site_fract_x
_atom_site_fract_y
_atom_site_fract_z
K1 0.5000 0.5000 0.5000
I1 0.0000 0.0000 0.5000
Te1 0.0000 0.5000 0.0000
Pb1 0.0000 0.0000 0.0000
Te2 0.5000 0.0000 0.0000

***

Record 6
# Sm3SnN (PBE, relaxed)
# Symmetry = No. 221
# D(E_F) = 2.8 states/eV/cell
data_Sm3SnN
_cell_length_a 4.9334
_cell_length_b 4.9334
_cell_length_c 4.9334
_cell_angle_alpha 90.00
_cell_angle_beta 90.00
_cell_angle_gamma 90.00
_space_group_name_H-M_alt 'P 1'
_space_group_IT_number 1
loop_
_space_group_symop_operation_xyz
'x,y,z'
loop_
_atom_site_label
_atom_site_fract_x
_atom_site_fract_y
_atom_site_fract_z
N1 0.5000 0.5000 0.5000
Sm1 0.0000 0.5000 0.5000
Sm2 0.5000 0.0000 0.5000
Sn1 0.0000 0.0000 0.0000
Sm3 0.5000 0.5000 0.0000

***

Record 7
# Mn3TcS (PBE, relaxed)
# Symmetry = No. 221
# D(E_F) = 7.0 states/eV/cell
# Energy above the most stable polymorph in this dataset = 0.000 eV/atom
data_Mn3TcS
_cell_length_a 4.0533
_cell_length_b 4.0533
_cell_length_c 4.0533
_cell_angle_alpha 90.00
_cell_angle_beta 90.00
_cell_angle_gamma 90.00
_space_group_name_H-M_alt 'P 1'
_space_group_IT_number 1
loop_
_space_group_symop_operation_xyz
'x,y,z'
loop_
_atom_site_label
_atom_site_fract_x
_atom_site_fract_y
_atom_site_fract_z
S1 0.0000 0.0000 0.0000
Mn1 0.0000 0.5000 0.0000
Mn2 0.5000 0.0000 0.0000
Mn3 0.0000 0.0000 0.5000
Tc1 0.5000 0.5000 0.5000

***

Record 8
# As2P (PBE, relaxed)
# Symmetry = No. 189
# D(E_F) = 5.2 states/eV/cell
# Formation energy = 47 kJ/mol of atoms
# Energy above the most stable polymorph in this dataset = 0.431 eV/atom
data_As2P
_cell_length_a 7.5398
_cell_length_b 7.5398
_cell_length_c 3.4696
_cell_angle_alpha 90.00
_cell_angle_beta 90.00
_cell_angle_gamma 120.00
_space_group_name_H-M_alt 'P 1'
_space_group_IT_number 1
loop_
_space_group_symop_operation_xyz
'x,y,z'
loop_
_atom_site_label
_atom_site_fract_x
_atom_site_fract_y
_atom_site_fract_z
P1 0.0000 0.0000 0.5000
As1 0.4732 0.4732 0.5000
As2 0.5268 0.0000 0.5000
As3 0.0000 0.5268 0.5000
P2 0.3333 0.6667 0.0000
P3 0.6667 0.3333 0.0000
As4 0.7434 0.7434 0.0000
As5 0.2566 0.0000 0.0000
As6 0.0000 0.2566 0.0000

***

Record 9
# LuGaH (PBE, relaxed)
# Symmetry = No. 62
# D(E_F) = 6.2 states/eV/cell
# Energy above the most stable polymorph in this dataset = 0.208 eV/atom
data_LuGaH
_cell_length_a 4.5389
_cell_length_b 5.7117
_cell_length_c 8.0288
_cell_angle_alpha 90.00
_cell_angle_beta 90.00
_cell_angle_gamma 90.00
_space_group_name_H-M_alt 'P 1'
_space_group_IT_number 1
loop_
_space_group_symop_operation_xyz
'x,y,z'
loop_
_atom_site_label
_atom_site_fract_x
_atom_site_fract_y
_atom_site_fract_z
Lu1 0.2500 0.5583 0.8468
Ga1 0.0000 0.5000 0.5000
Ga2 0.0000 0.0000 0.0000
Lu2 0.7500 0.0583 0.6532
H1 0.7500 0.5010 0.8952
Lu3 0.7500 0.4417 0.1532
Ga3 0.5000 0.0000 0.0000
Lu4 0.2500 0.9417 0.3468
H2 0.2500 0.4990 0.1048
H3 0.7500 0.9990 0.3952
Ga4 0.5000 0.5000 0.5000
H4 0.2500 0.0010 0.6048

***

Record 10
# RbSnSe3 (PBE, relaxed)
# Symmetry = No. 221
# D(E_F) = 4.4 states/eV/cell
data_RbSnSe3
_cell_length_a 5.4279
_cell_length_b 5.4279
_cell_length_c 5.4279
_cell_angle_alpha 90.00
_cell_angle_beta 90.00
_cell_angle_gamma 90.00
_space_group_name_H-M_alt 'P 1'
_space_group_IT_number 1
loop_
_space_group_symop_operation_xyz
'x,y,z'
loop_
_atom_site_label
_atom_site_fract_x
_atom_site_fract_y
_atom_site_fract_z
Se1 0.0000 0.5000 0.0000
Sn1 0.0000 0.0000 0.0000
Rb1 0.5000 0.5000 0.5000
Se2 0.5000 0.0000 0.0000
Se3 0.0000 0.0000 0.5000

***

Record 11
# Ca4In3Ag (PBE, relaxed)
# Symmetry = No. 123
# D(E_F) = 6.5 states/eV/cell
# Formation energy = -40 kJ/mol of atoms
data_Ca4In3Ag
_cell_length_a 3.8257
_cell_length_b 3.8257
_cell_length_c 15.3053
_cell_angle_alpha 90.00
_cell_angle_beta 90.00
_cell_angle_gamma 90.00
_space_group_name_H-M_alt 'P 1'
_space_group_IT_number 1
loop_
_space_group_symop_operation_xyz
'x,y,z'
loop_
_atom_site_label
_atom_site_fract_x
_atom_site_fract_y
_atom_site_fract_z
In1 0.5000 0.5000 0.5000
In2 0.5000 0.5000 0.7526
Ca1 0.0000 0.0000 0.1188
Ca2 0.0000 0.0000 0.6264
Ag1 0.5000 0.5000 0.0000
Ca3 0.0000 0.0000 0.8812
Ca4 0.0000 0.0000 0.3736
In3 0.5000 0.5000 0.2474

***

Record 12
# Li5Tl3In (PBE, relaxed)
# Symmetry = No. 193
# D(E_F) = 3.6 states/eV/cell
# Formation energy = -21 kJ/mol of atoms
data_Li5Tl3In
_cell_length_a 5.9901
_cell_length_b 8.4605
_cell_length_c 8.4606
_cell_angle_alpha 120.00
_cell_angle_beta 90.00
_cell_angle_gamma 90.00
_space_group_name_H-M_alt 'P 1'
_space_group_IT_number 1
loop_
_space_group_symop_operation_xyz
'x,y,z'
loop_
_atom_site_label
_atom_site_fract_x
_atom_site_fract_y
_atom_site_fract_z
Tl1 0.7500 0.6338 0.0000
Tl2 0.7500 0.3661 0.3661
Tl3 0.2500 0.6339 0.6339
Li1 0.7500 0.6945 0.6946
Li2 0.7500 0.3054 0.0000
Li3 0.7500 0.0000 0.3054
Li4 0.5000 0.3333 0.6667
Li5 0.0000 0.3333 0.6667
In1 0.0000 0.0000 0.0000
Li6 0.5000 0.6667 0.3333
Li7 0.0000 0.6667 0.3333
In2 0.5000 0.0000 0.0000
Li8 0.2500 0.6946 0.0000
Tl4 0.7500 0.0000 0.6339
Tl5 0.2500 0.3662 0.0000
Tl6 0.2500 0.0000 0.3661
Li9 0.2500 0.3055 0.3054
Li10 0.2500 0.0000 0.6946

***

no.,E_tot (eV per atom),calculated volume (Å³ per atom)
1,-6.741,31.4
2,-5.418,36.5
3,-6.541,10.1
4,-4.179,39.5
5,-2.843,45.6
6,-6.301,24.0
7,-7.806,13.3
8,-4.413,19.0
9,-3.820,17.3
10,-3.428,32.0
11,-2.801,28.0
12,-2.369,20.6